First-principles (PBE) data for a relaxed La2Tb4Th3 crystal, as listed in the Alexandria database.

Cell lengths 3.5832, 3.5832, 26.9679 Å; angles 90.00, 90.00, 120.00 degrees
Last column: nearest neighbours and their distance in Å.
Sites, in units of the cell vectors:
La: 0.6667 0.3333 0.0930  1 Tb 3.44, 6 La 3.58, 3 Th 3.63
Tb: 0.0000 0.0000 0.5420  9 Tb 3.55-3.58, 3 Th 3.58
Tb: 0.0000 0.0000 0.7569  3 Th 3.55, 6 Tb 3.58, 3 La 3.71
Th: 0.6667 0.3333 0.6502  6 Tb 3.55-3.58, 6 Th 3.58
Th: 0.0000 0.0000 0.3255  6 Tb 3.51-3.61, 6 Th 3.58
Tb: 0.6667 0.3333 0.2206  1 La 3.44, 3 Th 3.51, 6 Tb 3.58
La: 0.6667 0.3333 0.8713  6 La 3.58, 3 Th 3.64, 3 Tb 3.71
Tb: 0.6667 0.3333 0.4352  9 Tb 3.55-3.58, 3 Th 3.61
Th: 0.0000 0.0000 0.9824  6 Th 3.58, 6 La 3.63-3.64

Properties
ΔE_f ... 0.076 eV/atom
Symmetry ... P3m1

First-principles (PBE) data for a relaxed LaTb7Th2 crystal, as listed in the Alexandria database.

Cell lengths 6.2029, 8.0123, 11.3890 Å; angles 135.21, 123.23, 58.75 degrees
Last column: nearest neighbours and their distance in Å.
Sites, in units of the cell vectors:
Th: 0.4996 0.9029 0.5983  1 Th 3.52, 10 Tb 3.52-3.62, 1 La 3.61
Tb: 0.5000 0.5000 0.0000  2 Th 3.57, 2 La 3.57, 8 Tb 3.60-3.63
Th: 0.5004 0.0971 0.4017  1 Th 3.52, 10 Tb 3.52-3.62, 1 La 3.61
Tb: 0.9968 0.6053 0.4034  7 Tb 3.50-3.61, 4 Th 3.53-3.62, 1 La 3.61
Tb: 0.4992 0.3046 0.2054  2 Th 3.54-3.61, 8 Tb 3.56-3.68, 2 La 3.58-3.62
Tb: 0.0032 0.3947 0.5966  7 Tb 3.50-3.61, 4 Th 3.53-3.62, 1 La 3.61
La: 0.0000 0.0000 0.0000  10 Tb 3.57-3.63, 2 Th 3.61
Tb: 0.9956 0.1950 0.7925  8 Tb 3.50-3.68, 3 Th 3.52-3.58, 1 La 3.63
Tb: 0.5008 0.6954 0.7946  2 Th 3.54-3.61, 8 Tb 3.56-3.68, 2 La 3.58-3.62
Tb: 0.0044 0.8050 0.2075  8 Tb 3.50-3.68, 3 Th 3.52-3.58, 1 La 3.63

Properties
ΔE_f ... 0.036 eV/atom
Symmetry ... P-1

First-principles (PBE) data for a relaxed LaTb4Th crystal, as listed in the Alexandria database.

Cell lengths 6.6587, 9.1621, 8.5965 Å; angles 112.16, 99.96, 113.72 degrees
Last column: nearest neighbours and their distance in Å.
Sites, in units of the cell vectors:
Tb: 0.2492 0.2827 0.3833  2 Th 3.35-3.37, 5 Tb 3.36-3.75, 1 La 3.73
La: 0.6645 0.4145 0.8291  10 Tb 3.61-4.01
Tb: 0.6341 0.1006 0.3833  2 Th 3.35-3.37, 5 Tb 3.36-3.75, 1 La 3.73
Th: 0.7513 0.0013 0.0025  2 Th 3.33, 8 Tb 3.35-3.58
Tb: 0.1985 0.5743 0.7384  3 Tb 3.36-3.47, 2 Th 3.52-3.58, 2 La 3.61-3.62
Tb: 0.9601 0.8359 0.2616  3 Tb 3.36-3.47, 2 Th 3.52-3.58, 2 La 3.61-3.62
La: 0.3355 0.5855 0.1709  10 Tb 3.61-4.01
Tb: 0.7508 0.7173 0.6167  2 Th 3.35-3.37, 5 Tb 3.36-3.75, 1 La 3.73
Th: 0.2487 0.9987 0.9975  2 Th 3.33, 8 Tb 3.35-3.58
Tb: 0.0399 0.1641 0.7384  3 Tb 3.36-3.47, 2 Th 3.52-3.58, 2 La 3.61-3.62
Tb: 0.3659 0.8994 0.6167  2 Th 3.35-3.37, 5 Tb 3.36-3.75, 1 La 3.73
Tb: 0.8015 0.4257 0.2616  3 Tb 3.36-3.47, 2 Th 3.52-3.58, 2 La 3.61-3.62

Properties
ΔE_f ... 0.153 eV/atom
ΔE to the lowest computed polymorph ... 0.73 eV per formula unit
Symmetry ... C2/c

First-principles (PBE) data for a relaxed LaTbTh crystal, as listed in the Alexandria database.

Cell lengths 3.6114, 3.6114, 8.9056 Å; angles 90.00, 90.00, 120.00 degrees
Last column: nearest neighbours and their distance in Å.
Sites, in units of the cell vectors:
Tb: 0.3333 0.6667 0.6535  3 Th 3.51, 6 Tb 3.61, 3 La 3.80
La: 0.0000 0.0000 0.0103  3 Th 3.57, 6 La 3.61, 3 Tb 3.80
Th: 0.6667 0.3333 0.3363  3 Tb 3.51, 3 La 3.57, 6 Th 3.61

Properties
ΔE_f ... 0.026 eV/atom
ΔE to the lowest computed polymorph ... 0.05 eV per formula unit
Symmetry ... P3m1

First-principles (PBE) data for a relaxed La8TbTh2 crystal, as listed in the Alexandria database.

Cell lengths 5.8163, 8.2909, 9.6342 Å; angles 115.49, 107.57, 90.00 degrees
Last column: nearest neighbours and their distance in Å.
Sites, in units of the cell vectors:
Th: 0.1988 0.6987 0.3976  10 La 3.51-3.71
Tb: 0.5000 0.0000 0.0000  4 La 3.34
La: 0.6385 0.8423 0.2769  1 Tb 3.34, 4 La 3.38-3.71, 3 Th 3.51-3.63
La: 0.1604 0.1604 0.3207  8 La 3.59-3.82, 2 Th 3.71, 2 Tb 3.92
Th: 0.8012 0.3013 0.6024  10 La 3.51-3.71
La: 0.3616 0.5654 0.7232  1 Tb 3.34, 4 La 3.38-3.71, 3 Th 3.51-3.63
La: 0.0000 0.7051 0.0000  7 La 3.40-3.69, 2 Th 3.68, 2 Tb 3.80
La: 0.0000 0.2949 0.0000  7 La 3.40-3.69, 2 Th 3.68, 2 Tb 3.80
La: 0.6384 0.4346 0.2767  1 Tb 3.34, 4 La 3.38-3.71, 3 Th 3.51-3.63
La: 0.8396 0.8396 0.6793  8 La 3.59-3.82, 2 Th 3.71, 2 Tb 3.92
La: 0.3615 0.1577 0.7231  1 Tb 3.34, 4 La 3.38-3.71, 3 Th 3.51-3.63

Properties
ΔE_f ... 0.138 eV/atom
Symmetry ... Immm

First-principles (PBE) data for a relaxed La3TbTh crystal, as listed in the Alexandria database.

Cell lengths 6.0931, 6.0887, 9.8330 Å; angles 108.04, 90.00, 90.00 degrees
Last column: nearest neighbours and their distance in Å.
Sites, in units of the cell vectors:
La: 0.7500 0.9222 0.4914  4 Tb 3.49-3.59, 2 La 3.56-3.88, 4 Th 3.57-3.67
Th: 0.7500 0.5285 0.7086  9 La 3.41-3.67, 1 Tb 3.76
La: 0.2500 0.2383 0.1276  2 Th 3.41, 2 Tb 3.47, 3 La 3.56-3.60
Tb: 0.7500 0.3311 0.3064  8 La 3.47-3.74, 1 Th 3.76
Th: 0.2500 0.8199 0.2914  9 La 3.41-3.67, 1 Tb 3.76
La: 0.2500 0.6378 0.9236  4 La 3.36-3.60, 3 Th 3.44-3.65, 2 Tb 3.72-3.74
La: 0.7500 0.7142 0.0764  4 La 3.36-3.60, 3 Th 3.44-3.65, 2 Tb 3.72-3.74
La: 0.2500 0.4308 0.5086  4 Tb 3.49-3.59, 2 La 3.56-3.88, 4 Th 3.57-3.67
La: 0.7500 0.1107 0.8724  2 Th 3.41, 2 Tb 3.47, 3 La 3.56-3.60
Tb: 0.2500 0.0248 0.6936  8 La 3.47-3.74, 1 Th 3.76

Properties
ΔE_f ... 0.131 eV/atom
ΔE to the lowest computed polymorph ... 0.55 eV per formula unit
Symmetry ... Ama2

First-principles (PBE) data for a relaxed La3Tb2Th3 crystal, as listed in the Alexandria database.

Cell lengths 5.0954, 5.1500, 10.2341 Å; angles 90.00, 90.00, 90.00 degrees
Last column: nearest neighbours and their distance in Å.
Sites, in units of the cell vectors:
Th: 0.0000 0.5000 0.0000  4 Th 3.57, 4 Tb 3.58, 4 La 3.62
Tb: 0.0000 0.0000 0.7572  6 La 3.56-3.68, 6 Th 3.58-3.62
Th: 0.5000 0.5000 0.2444  2 Th 3.57, 6 La 3.59-3.67, 4 Tb 3.62
Tb: 0.0000 0.0000 0.2428  6 La 3.56-3.68, 6 Th 3.58-3.62
Th: 0.5000 0.5000 0.7556  2 Th 3.57, 6 La 3.59-3.67, 4 Tb 3.62
La: 0.5000 0.0000 0.5000  4 La 3.62, 4 Tb 3.66, 4 Th 3.67
La: 0.0000 0.5000 0.5000  4 La 3.62, 4 Th 3.65, 4 Tb 3.68
La: 0.5000 0.0000 0.0000  4 Tb 3.56, 8 Th 3.59-3.62

Properties
ΔE_f ... 0.061 eV/atom
Symmetry ... Pmmm

First-principles (PBE) data for a relaxed La3Tb6Tm2Th crystal, as listed in the Alexandria database.

Cell lengths 6.2192, 6.2192, 11.9332 Å; angles 94.99, 94.99, 119.99 degrees
Last column: nearest neighbours and their distance in Å.
Sites, in units of the cell vectors:
Tb: 0.9189 0.5881 0.7568  1 Th 3.52, 2 Tm 3.54, 6 Tb 3.56-3.61, 3 La 3.66-3.67
Tb: 0.2494 0.2494 0.7563  1 Th 3.53, 2 Tm 3.54, 6 Tb 3.56-3.61, 3 La 3.65-3.67
Tb: 0.5881 0.9189 0.7568  1 Th 3.52, 2 Tm 3.54, 6 Tb 3.56-3.61, 3 La 3.66-3.67
Tb: 0.7506 0.7506 0.2437  1 Th 3.53, 2 Tm 3.54, 6 Tb 3.56-3.61, 3 La 3.65-3.67
Tb: 0.4119 0.0811 0.2432  1 Th 3.52, 2 Tm 3.54, 6 Tb 3.56-3.61, 3 La 3.66-3.67
Tm: 0.3332 0.6668 0.0000  6 Tb 3.54, 3 Th 3.59, 3 Tm 3.59
La: 0.8329 0.1671 0.5000  6 La 3.59-3.60, 6 Tb 3.65-3.67
Tm: 0.6668 0.3332 0.0000  6 Tb 3.54, 3 Th 3.59, 3 Tm 3.59
La: 0.1671 0.8329 0.5000  6 La 3.59-3.60, 6 Tb 3.65-3.67
La: 0.5000 0.5000 0.5000  6 La 3.59, 6 Tb 3.66-3.67
Tb: 0.0811 0.4119 0.2432  1 Th 3.52, 2 Tm 3.54, 6 Tb 3.56-3.61, 3 La 3.66-3.67
Th: 0.0000 0.0000 0.0000  6 Tb 3.52-3.53, 6 Tm 3.59

Properties
ΔE_f ... 0.023 eV/atom
Symmetry ... C2/m

First-principles (PBE) data for a relaxed LaTbTmTh crystal, as listed in the Alexandria database.

Cell lengths 5.7109, 5.7109, 5.7109 Å; angles 60.00, 60.00, 60.00 degrees
Last column: nearest neighbours and their distance in Å.
Sites, in units of the cell vectors:
Th: 0.7500 0.7500 0.7500  4 Tb 3.50, 4 Tm 3.50
Tb: 0.0000 0.0000 0.0000  4 Th 3.50, 4 La 3.50
Tm: 0.5000 0.5000 0.5000  4 La 3.50, 4 Th 3.50
La: 0.2500 0.2500 0.2500  4 Tb 3.50, 4 Tm 3.50

Properties
ΔE_f ... 0.117 eV/atom
ΔE to the lowest computed polymorph ... 0.41 eV per formula unit
Symmetry ... F-43m

First-principles (PBE) data for a relaxed LaTb2Tm4Th crystal, as listed in the Alexandria database.

Cell lengths 5.0871, 5.0757, 11.0732 Å; angles 62.75, 90.00, 90.00 degrees
Last column: nearest neighbours and their distance in Å.
Sites, in units of the cell vectors:
La: 0.5000 0.5000 0.0000  8 Tm 3.57-3.58, 4 Tb 3.59
Tb: 0.0000 0.0000 0.0000  8 Tm 3.57-3.58, 4 La 3.59
Th: 0.0000 0.5000 0.5000  8 Tm 3.49-3.50, 4 Tb 3.59
Tm: 0.5000 0.2565 0.7439  4 Tb 3.49-3.58, 2 Th 3.50, 2 La 3.57-3.58, 4 Tm 3.59
Tm: 0.5000 0.7435 0.2561  4 Tb 3.49-3.58, 2 Th 3.50, 2 La 3.57-3.58, 4 Tm 3.59
Tm: 0.0000 0.2441 0.2558  2 Th 3.50, 4 Tb 3.50-3.58, 2 La 3.58, 4 Tm 3.59
Tb: 0.5000 0.0000 0.5000  8 Tm 3.49-3.50, 4 Th 3.59
Tm: 0.0000 0.7559 0.7442  2 Th 3.49-3.50, 4 Tb 3.50-3.58, 2 La 3.58, 4 Tm 3.59

Properties
ΔE_f ... 0.035 eV/atom
Symmetry ... Pmmm